[1]
## LiAl2Ir (GGA-PBEsol)

Data for a relaxed LiAl2Ir crystal.

Calculated density, g/cm3: 7.80
Formation energy, eV/atom: -0.720
Electronic total energy, Ry/atom: -0.420
Magnetization, μB per atom: 0.00

Geometry as CIF:
```
data_LiAl2Ir
_chemical_formula_sum 'Li4 Al8 Ir4'
_cell_length_a 5.995
_cell_length_b 5.995
_cell_length_c 5.995
_cell_angle_alpha 90.00
_cell_angle_beta 90.00
_cell_angle_gamma 90.00
_symmetry_space_group_name_H-M 'F m -3 m'
_symmetry_Int_Tables_number 225
_symmetry_space_group_name_Hall '-F 4 2 3'
loop_
_atom_site_label
_atom_site_type_symbol
_atom_site_fract_x
_atom_site_fract_y
_atom_site_fract_z
_atom_site_occupancy
Li1 Li 0.000 0.000 0.000 1
Al1 Al 0.250 0.250 0.250 1
Ir1 Ir 0.000 0.000 0.500 1
```

=====

[2]
## RbTe2S (GGA-PBEsol)

Data for a relaxed RbTe2S crystal.

Calculated density, g/cm3: 3.72
Electronic total energy, Ry/atom: -0.252
Magnetization, μB per atom: 0.00
Formation energy from raw total energies, eV per atom: -0.31

Geometry as CIF:
```
data_RbTe2S
_chemical_formula_sum 'Rb4 Te8 S4'
_cell_length_a 6.053
_cell_length_b 6.053
_cell_length_c 18.180
_cell_angle_alpha 90.00
_cell_angle_beta 90.00
_cell_angle_gamma 90.00
_symmetry_space_group_name_H-M 'I 41/a m d'
_symmetry_Int_Tables_number 141
loop_
_symmetry_equiv_pos_as_xyz
'x,y,z'
'-x,-y,-z'
'-y+1/4,x+3/4,z+1/4'
'y+1/4,-x+3/4,-z+1/4'
'-x+1/2,-y,z+1/2'
'x+1/2,y,-z+1/2'
'y+1/4,-x+1/4,z+3/4'
'-y+1/4,x+1/4,-z+3/4'
'x,-y,-z'
'-x,y,z'
'-y+1/4,-x+1/4,-z+3/4'
'y+1/4,x+1/4,z+3/4'
'-x+1/2,y,-z+1/2'
'x+1/2,-y,z+1/2'
'y+1/4,x+3/4,-z+1/4'
'-y+1/4,-x+3/4,z+1/4'
'x+1/2,y+1/2,z+1/2'
'-x+1/2,-y+1/2,-z+1/2'
'-y+3/4,x+1/4,z+3/4'
'y+3/4,-x+1/4,-z+3/4'
'-x,-y+1/2,z'
'x,y+1/2,-z'
'y+3/4,-x+3/4,z+1/4'
'-y+3/4,x+3/4,-z+1/4'
'x+1/2,-y+1/2,-z+1/2'
'-x+1/2,y+1/2,z+1/2'
'-y+3/4,-x+3/4,-z+1/4'
'y+3/4,x+3/4,z+1/4'
'-x,y+1/2,-z'
'x,-y+1/2,z'
'y+3/4,x+1/4,-z+3/4'
'-y+3/4,-x+1/4,z+3/4'
loop_
_atom_site_label
_atom_site_type_symbol
_atom_site_fract_x
_atom_site_fract_y
_atom_site_fract_z
_atom_site_occupancy
Rb1 Rb 0.000 0.250 0.375 1
Te1 Te 0.000 0.000 0.000 1
S1 S 0.000 0.250 0.875 1
```

=====

[3]
## MgAg3I (GGA-PBEsol)

Data for a relaxed MgAg3I crystal.

Calculated density, g/cm3: 6.21
Electronic total energy, Ry/atom: -0.151
Magnetization, μB per atom: 0.00
Formation energy from raw total energies, eV per atom: 0.63

Geometry as CIF:
```
data_MgAg3I
_chemical_formula_sum 'Mg1 Ag3 I1'
_cell_length_a 5.027
_cell_length_b 5.027
_cell_length_c 5.027
_cell_angle_alpha 90.00
_cell_angle_beta 90.00
_cell_angle_gamma 90.00
_symmetry_space_group_name_H-M 'P m -3 m'
_symmetry_Int_Tables_number 221
_symmetry_space_group_name_Hall '-P 4 2 3'
loop_
_atom_site_label
_atom_site_type_symbol
_atom_site_fract_x
_atom_site_fract_y
_atom_site_fract_z
_atom_site_occupancy
Mg1 Mg 0.000 0.000 0.000 1
Ag1 Ag 0.000 0.000 0.500 1
I1 I 0.500 0.500 0.500 1
```

=====

[4]
## VCr2W (GGA-PBEsol)

Data for a relaxed VCr2W crystal.

Calculated density, g/cm3: 11.07
Formation energy, eV/atom: -0.061
Electronic total energy, Ry/atom: -0.812
Magnetization, μB per atom: 0.00

Geometry as CIF:
```
data_VCr2W
_chemical_formula_sum 'V4 Cr8 W4'
_cell_length_a 5.880
_cell_length_b 5.880
_cell_length_c 5.880
_cell_angle_alpha 90.00
_cell_angle_beta 90.00
_cell_angle_gamma 90.00
_symmetry_space_group_name_H-M 'F m -3 m'
_symmetry_Int_Tables_number 225
_symmetry_space_group_name_Hall '-F 4 2 3'
loop_
_atom_site_label
_atom_site_type_symbol
_atom_site_fract_x
_atom_site_fract_y
_atom_site_fract_z
_atom_site_occupancy
V1 V 0.000 0.000 0.000 1
Cr1 Cr 0.250 0.250 0.250 1
W1 W 0.000 0.000 0.500 1
```

=====

[5]
## HoCuSb2 (GGA-PBEsol)

Data for a relaxed HoCuSb2 crystal.

Calculated density, g/cm3: 9.07
Electronic total energy, Ry/atom: -0.385
Magnetization, μB per atom: 0.00
Formation energy from raw total energies, eV per atom: -0.64

Geometry as CIF:
```
data_HoCuSb2
_chemical_formula_sum 'Ho2 Cu2 Sb4'
_cell_length_a 4.249
_cell_length_b 4.249
_cell_length_c 9.574
_cell_angle_alpha 90.00
_cell_angle_beta 90.00
_cell_angle_gamma 90.00
_symmetry_space_group_name_H-M 'P 4/n m m'
_symmetry_Int_Tables_number 129
loop_
_symmetry_equiv_pos_as_xyz
'x,y,z'
'-x,-y,-z'
'-y+1/2,x,z'
'y+1/2,-x,-z'
'-x+1/2,-y+1/2,z'
'x+1/2,y+1/2,-z'
'y,-x+1/2,z'
'-y,x+1/2,-z'
'x+1/2,-y,-z'
'-x+1/2,y,z'
'-y,-x,-z'
'y,x,z'
'-x,y+1/2,-z'
'x,-y+1/2,z'
'y+1/2,x+1/2,-z'
'-y+1/2,-x+1/2,z'
loop_
_atom_site_label
_atom_site_type_symbol
_atom_site_fract_x
_atom_site_fract_y
_atom_site_fract_z
_atom_site_occupancy
Ho1 Ho 0.250 0.250 0.249 1
Cu1 Cu 0.250 0.750 0.000 1
Sb1 Sb 0.250 0.250 0.837 1
Sb2 Sb 0.250 0.750 0.500 1
```

=====

[6]
## TaTePb2 (GGA-PBEsol)

Data for a relaxed TaTePb2 crystal.

Calculated density, g/cm3: 12.31
Electronic total energy, Ry/atom: -0.398
Magnetization, μB per atom: 0.11
Formation energy from raw total energies, eV per atom: 0.61

Geometry as CIF:
```
data_TaTePb2
_chemical_formula_sum 'Ta2 Te2 Pb4'
_cell_length_a 5.565
_cell_length_b 5.565
_cell_length_c 6.299
_cell_angle_alpha 90.00
_cell_angle_beta 90.00
_cell_angle_gamma 90.00
_symmetry_space_group_name_H-M 'I -4 m 2'
_symmetry_Int_Tables_number 119
_symmetry_space_group_name_Hall 'I -4 -2'
loop_
_atom_site_label
_atom_site_type_symbol
_atom_site_fract_x
_atom_site_fract_y
_atom_site_fract_z
_atom_site_occupancy
Ta1 Ta 0.000 0.000 0.000 1
Te1 Te 0.000 0.500 0.750 1
Pb1 Pb 0.000 0.000 0.500 1
Pb2 Pb 0.000 0.500 0.250 1
```

=====

- Among the records above, which one has the lowest calculated density?
  RbTe2S

=====

- Which value of electronic total energy does entry 3 give?
  -0.151 Ry/atom

=====

- What is the electronic total energy in the third record?
  -0.151 Ry/atom

=====

- The lowest electronic total energy belongs to which entry?
  VCr2W